1.
## TbEr2Mg3TlGa2 (PBE-GGA)

Data for TbEr2Mg3TlGa2 after structural relaxation.

Properties
**E_tot**: -3.4112 eV/atom

Cell lengths 4.536, 12.693, 7.296 Å; angles 90.00, 90.00, 90.00 degrees
Space group Amm2 (No. 38)
One atom of each set of equivalent atoms:
Tb1 0.000 0.000 0.000 x2
Er1 0.000 0.219 0.344 x4
Mg1 0.500 0.000 0.312 x2
Mg2 0.500 0.125 0.687 x4
Tl1 0.000 0.000 0.560 x2
Ga1 0.500 0.168 0.063 x4

***

2.
## Co2SnOs (PBE-GGA)

Data for Co2SnOs after structural relaxation.

Properties
**E_tot**: -7.0356 eV/atom

Cell lengths 6.096, 6.096, 6.096 Å; angles 90.00, 90.00, 90.00 degrees
Space group F-43m (No. 216)
One atom of each set of equivalent atoms:
Co1 0.000 0.000 0.000 x4
Co2 0.250 0.250 0.250 x4
Sn1 0.000 0.000 0.500 x4
Os1 0.250 0.250 0.750 x4

***

3.
## LaTbPb (PBE-GGA)

Data for LaTbPb after structural relaxation.

Properties
**E_tot**: -4.1101 eV/atom

Cell lengths 7.619, 7.619, 7.619 Å; angles 90.00, 90.00, 90.00 degrees
Space group F-43m (No. 216)
One atom of each set of equivalent atoms:
La1 0.000 0.000 0.000 x4
Tb1 0.250 0.250 0.250 x4
Pb1 0.250 0.250 0.750 x4

***

4.
## Tl2AgPt (PBE-GGA)

Data for Tl2AgPt after structural relaxation.

Properties
**E_tot**: -3.2263 eV/atom

Cell lengths 7.012, 7.012, 7.012 Å; angles 90.00, 90.00, 90.00 degrees
Space group F-43m (No. 216)
One atom of each set of equivalent atoms:
Tl1 0.000 0.000 0.000 x4
Tl2 0.250 0.250 0.250 x4
Ag1 0.250 0.250 0.750 x4
Pt1 0.000 0.000 0.500 x4

***

5.
## KUS3 (PBE-GGA)

Data for KUS3 after structural relaxation.

Properties
**E_tot**: -6.2801 eV/atom

Cell lengths 5.183, 5.183, 5.183 Å; angles 90.00, 90.00, 90.00 degrees
Space group Pm-3m (No. 221)
One atom of each set of equivalent atoms:
K1 0.000 0.000 0.000 x1
U1 0.500 0.500 0.500 x1
S1 0.000 0.500 0.500 x3

***

6.
## PaGeO3 (PBE-GGA)

Data for PaGeO3 after structural relaxation.

Properties
**E_tot**: -7.6208 eV/atom

Cell lengths 4.435, 4.435, 4.270 Å; angles 90.00, 90.00, 90.00 degrees
Space group P4mm (No. 99)
One atom of each set of equivalent atoms:
Pa1 0.000 0.000 0.000 x1
Ge1 0.500 0.500 0.304 x1
O1 0.000 0.000 0.511 x1
O2 0.000 0.500 0.094 x2

***

7.
## PrZrB (PBE-GGA)

Data for PrZrB after structural relaxation.

Properties
**ΔE to the lowest computed polymorph**: 0 meV per atom

Cell lengths 6.311, 6.311, 6.311 Å; angles 90.00, 90.00, 90.00 degrees
Space group F-43m (No. 216)
One atom of each set of equivalent atoms:
Pr1 0.000 0.000 0.000 x4
Zr1 0.000 0.000 0.500 x4
B1 0.250 0.250 0.250 x4

***

8.
## YTmSi2BMo2 (PBE-GGA)

Data for YTmSi2BMo2 after structural relaxation.

Properties
**E_tot**: -7.6870 eV/atom

Cell lengths 11.081, 3.918, 7.061 Å; angles 90.00, 124.73, 90.00 degrees
Space group Cm (No. 8)
One atom of each set of equivalent atoms:
Y1 0.000 0.000 0.000 x2
Tm1 0.349 0.500 0.398 x2
Si1 0.054 0.500 0.360 x2
Si2 0.293 0.000 0.039 x2
B1 0.423 0.000 0.694 x2
Mo1 0.138 0.500 0.785 x2
Mo2 0.208 0.000 0.610 x2

***

9.
## Al6GePt (PBE-GGA)

Data for Al6GePt after structural relaxation.

Properties
**E_tot**: -4.2186 eV/atom

Cell lengths 8.712, 8.712, 8.712 Å; angles 90.00, 90.00, 90.00 degrees
Space group F-43m (No. 216)
One atom of each set of equivalent atoms:
Al1 0.000 0.000 0.221 x24
Ge1 0.250 0.250 0.250 x4
Pt1 0.000 0.000 0.500 x4

***

10.
## Ba2PdPb2 (PBE-GGA)

Data for Ba2PdPb2 after structural relaxation.

Properties
**ΔE to the lowest computed polymorph**: 0 meV per atom

Cell lengths 4.366, 4.366, 19.333 Å; angles 90.00, 90.00, 90.00 degrees
Space group I4/mmm (No. 139)
One atom of each set of equivalent atoms:
Ba1 0.000 0.000 0.093 x4
Pd1 0.000 0.000 0.500 x2
Pb1 0.000 0.500 0.250 x4

***

11.
## SmTmZnIr2 (PBE-GGA)

Data for SmTmZnIr2 after structural relaxation.

Properties
**Formation energy**: -369 kJ/mol of formula units

Cell lengths 4.178, 5.831, 8.369 Å; angles 90.00, 90.00, 90.00 degrees
Space group Imm2 (No. 44)
One atom of each set of equivalent atoms:
Sm1 0.000 0.000 0.000 x2
Tm1 0.000 0.000 0.594 x2
Zn1 0.000 0.500 0.800 x2
Ir1 0.000 0.270 0.296 x4

***

12.
## AcTaAsO (PBE-GGA)

Data for AcTaAsO after structural relaxation.

Properties
**ΔE to the lowest computed polymorph**: 498 meV per atom

Cell lengths 4.688, 6.598, 6.233 Å; angles 90.00, 90.00, 90.00 degrees
Space group Pmc2_1 (No. 26)
One atom of each set of equivalent atoms:
Ac1 0.000 0.230 0.000 x2
Ta1 0.500 0.402 0.570 x2
As1 0.000 0.254 0.496 x2
O1 0.500 0.339 0.884 x2

***

13.
## ZnNi15 (PBE-GGA)

Data for ZnNi15 after structural relaxation.

Properties
**Formation energy**: 172 kJ/mol of formula units
**ΔE to the lowest computed polymorph**: 47 meV per atom

Cell lengths 6.944, 2.487, 33.520 Å; angles 90.00, 90.00, 90.00 degrees
Space group P2_1/m (No. 11)
One atom of each set of equivalent atoms:
Zn1 0.125 0.250 0.221 x2
Ni1 0.124 0.250 0.666 x2
Ni2 0.125 0.250 0.297 x2
Ni3 0.125 0.250 0.371 x2
Ni4 0.125 0.250 0.445 x2
Ni5 0.125 0.250 0.518 x2
Ni6 0.125 0.250 0.592 x2
Ni7 0.126 0.250 0.742 x2
Ni8 0.374 0.750 0.334 x2
Ni9 0.375 0.750 0.408 x2
Ni10 0.375 0.750 0.481 x2
Ni11 0.375 0.750 0.556 x2
Ni12 0.375 0.750 0.630 x2
Ni13 0.375 0.750 0.703 x2
Ni14 0.375 0.750 0.776 x2
Ni15 0.376 0.750 0.258 x2

***

14.
## DyHoIr2 (PBE-GGA)

Data for DyHoIr2 after structural relaxation.

Properties
**Formation energy**: -292 kJ/mol of formula units
**ΔE to the lowest computed polymorph**: 80 meV per atom

Cell lengths 4.258, 5.565, 7.231 Å; angles 90.00, 90.00, 90.00 degrees
Space group Pmc2_1 (No. 26)
One atom of each set of equivalent atoms:
Dy1 0.000 0.127 0.000 x2
Ho1 0.500 0.373 0.646 x2
Ir1 0.000 0.387 0.362 x2
Ir2 0.500 0.115 0.284 x2

***

15.
## NaTmPO (PBE-GGA)

Data for NaTmPO after structural relaxation.

Properties
**ΔE to the lowest computed polymorph**: 92 meV per atom

Cell lengths 3.529, 7.849, 5.859 Å; angles 90.00, 90.00, 90.00 degrees
Space group Pmc2_1 (No. 26)
One atom of each set of equivalent atoms:
Na1 0.000 0.070 0.000 x2
Tm1 0.500 0.325 0.376 x2
P1 0.500 0.329 0.863 x2
O1 0.000 0.186 0.352 x2

***

16.
## Hf2ZrNi4As4 (PBE-GGA)

Data for Hf2ZrNi4As4 after structural relaxation.

Properties
**ΔE to the lowest computed polymorph**: 4 meV per atom

Cell lengths 6.413, 3.817, 7.260 Å; angles 90.00, 90.31, 90.00 degrees
Space group Pm (No. 6)
One atom of each set of equivalent atoms:
Hf1 0.000 0.000 0.000 x1
Hf2 0.490 0.000 0.864 x1
Zr1 0.543 0.500 0.489 x1
Ni1 0.169 0.500 0.737 x1
Ni2 0.401 0.000 0.237 x1
Ni3 0.660 0.500 0.117 x1
Ni4 0.877 0.000 0.622 x1
As1 0.243 0.000 0.546 x1
As2 0.278 0.500 0.075 x1
As3 0.787 0.000 0.303 x1
As4 0.788 0.500 0.802 x1

***

17.
## BaTePtO (PBE-GGA)

Data for BaTePtO after structural relaxation.

Properties
**ΔE to the lowest computed polymorph**: 37 meV per atom

Cell lengths 6.942, 7.602, 8.339 Å; angles 90.00, 90.00, 90.00 degrees
Space group P2_12_12_1 (No. 19)
One atom of each set of equivalent atoms:
Ba1 0.139 0.195 0.337 x4
Te1 0.157 0.355 0.901 x4
Pt1 0.056 0.104 0.713 x4
O1 0.094 0.532 0.344 x4

***

18.
## HoScAl2Pd4 (PBE-GGA)

Data for HoScAl2Pd4 after structural relaxation.

Properties
**E_tot**: -5.8176 eV/atom

Cell lengths 4.3187, 4.3187, 8.8977 Å; angles 90.00, 90.00, 120.00 degrees
Space group P-6m2 (No. 187)
One atom of each set of equivalent atoms:
Ho1 0.0000 0.0000 0.0000 x1
Sc1 0.6667 0.3333 0.5000 x1
Al1 0.3333 0.6667 0.2599 x2
Pd1 0.0000 0.0000 0.3398 x2
Pd2 0.6667 0.3333 0.1733 x2

***

19.
## GdTmGe2 (PBE-GGA)

Data for GdTmGe2 after structural relaxation.

Properties
**E_tot**: -4.5410 eV/atom

Cell lengths 3.242, 5.826, 11.464 Å; angles 90.00, 90.00, 90.00 degrees
Space group Amm2 (No. 38)
One atom of each set of equivalent atoms:
Gd1 0.000 0.000 0.000 x2
Tm1 0.000 0.000 0.701 x2
Ge1 0.000 0.000 0.246 x2
Ge2 0.000 0.000 0.460 x2

***

20.
## NbFeHgB (PBE-GGA)

Data for NbFeHgB after structural relaxation.

Properties
**ΔE to the lowest computed polymorph**: 0 meV per atom

Cell lengths 6.155, 6.155, 6.155 Å; angles 90.00, 90.00, 90.00 degrees
Space group F-43m (No. 216)
One atom of each set of equivalent atoms:
Nb1 0.000 0.000 0.000 x4
Fe1 0.000 0.000 0.500 x4
Hg1 0.250 0.250 0.750 x4
B1 0.250 0.250 0.250 x4